1.
Density functional theory data (GGA-PBE) for a relaxed structure of PuCu2GeH.

The structure in POSCAR format:
```
PuCu2GeH
1.0
2.0214 -5.3816 0.0000
2.0214 5.3816 0.0000
0.0000 0.0000 6.7016
Pu Cu Ge H
2 4 2 2
Cartesian
2.0214 4.7355 5.0262
2.0214 -4.7355 1.6754
2.0214 1.7000 3.7700
2.0214 1.7000 6.2824
2.0214 -1.7000 0.4192
2.0214 -1.7000 2.9316
2.0214 2.9966 1.6754
2.0214 -2.9966 5.0262
2.0214 0.0000 0.0000
2.0214 0.0000 3.3508
```

Values from the calculation:
- Uncorrected energy: -6.319 eV/atom
- Space-group type: Cmcm (63)

---

2.
Density functional theory data (GGA-PBE) for a relaxed structure of Ce2ThRe.

The structure in POSCAR format:
```
Ce2ThRe
1.0
3.2802 0.0000 0.0000
-1.6401 2.8407 0.0000
0.0000 0.0000 32.3652
Ce Th Re
6 3 3
Cartesian
0.0000 0.0000 2.4968
0.0000 0.0000 29.8684
0.0000 1.8938 19.0800
0.0000 1.8938 24.0736
1.6401 0.9469 8.2916
1.6401 0.9469 13.2852
0.0000 0.0000 16.1826
0.0000 1.8938 5.3942
1.6401 0.9469 26.9710
0.0000 0.0000 0.0000
0.0000 1.8938 21.5768
1.6401 0.9469 10.7884
```

Values from the calculation:
- Formation enthalpy at 0 K: 545.7 meV/atom
- Uncorrected energy: -7.388 eV/atom
- Space-group type: R-3m (166)

---

3.
Density functional theory data (GGA-PBE) for a relaxed structure of Cd5Hg7.

The structure in POSCAR format:
```
Cd5Hg7
1.0
6.2814 -1.8666 0.0000
6.2814 1.8666 0.0000
-1.0799 0.0000 13.1740
Cd Hg
5 7
Cartesian
0.0000 0.0000 0.0000
1.7088 0.0000 5.7443
4.5542 0.0000 1.9668
6.9287 0.0000 11.2072
9.7740 0.0000 7.4297
0.5029 0.0000 3.1407
1.4729 0.0000 8.8991
2.9617 0.0000 12.0132
5.7414 0.0000 6.5870
8.5212 0.0000 1.1608
10.0099 0.0000 4.2749
10.9800 0.0000 10.0333
```

Values from the calculation:
- Formation enthalpy at 0 K: 24.6 meV/atom
- Uncorrected energy: -0.533 eV/atom
- Space-group type: C2/m (12)

---

4.
Density functional theory data (GGA-PBE) for a relaxed structure of Pu2Si6TcRh.

The structure in POSCAR format:
```
Pu2Si6TcRh
1.0
2.9258 1.6892 12.3316
-2.9258 1.6892 12.3316
0.0000 -3.3784 12.3316
Pu Si Tc Rh
4 12 2 2
Cartesian
0.0000 0.0000 4.6769
0.0000 0.0000 10.2976
0.0000 0.0000 26.6973
0.0000 0.0000 32.3180
-1.7440 -1.0069 17.0990
0.0000 -1.9872 14.3226
-1.7210 0.9936 14.3226
-1.7210 -0.9936 22.6723
0.0000 -2.0137 19.8959
-1.7440 1.0069 19.8959
1.7440 -1.0069 17.0990
0.0000 2.0137 17.0990
1.7210 0.9936 14.3226
1.7210 -0.9936 22.6723
0.0000 1.9872 22.6723
1.7440 1.0069 19.8959
0.0000 0.0000 15.6575
0.0000 0.0000 21.3374
0.0000 0.0000 0.0000
0.0000 0.0000 18.4974
```

Values from the calculation:
- Formation energy (no corrections): -0.437 eV/atom
- Uncorrected energy: -8.329 eV/atom
- Space-group type: R-3m (166)

---

Question: Among the records above, which one has the highest uncorrected energy?
Answer: Cd5Hg7

---

Copy entry 1 word for word.
Density functional theory data (GGA-PBE) for a relaxed structure of PuCu2GeH.

The structure in POSCAR format:
```
PuCu2GeH
1.0
2.0214 -5.3816 0.0000
2.0214 5.3816 0.0000
0.0000 0.0000 6.7016
Pu Cu Ge H
2 4 2 2
Cartesian
2.0214 4.7355 5.0262
2.0214 -4.7355 1.6754
2.0214 1.7000 3.7700
2.0214 1.7000 6.2824
2.0214 -1.7000 0.4192
2.0214 -1.7000 2.9316
2.0214 2.9966 1.6754
2.0214 -2.9966 5.0262
2.0214 0.0000 0.0000
2.0214 0.0000 3.3508
```

Values from the calculation:
- Uncorrected energy: -6.319 eV/atom
- Space-group type: Cmcm (63)

---

Question: uncorrected energy of number 2 (Ce2ThRe)?
Answer: -7.388 eV/atom